# 1
Entry from the Alexandria database: a relaxed structure of Rb3Hg2Pb4 (PBE).

Lattice parameters (Å, degrees): 5.5504 7.3180 9.6226 77.22 81.25 68.98
With the nearest neighbours (Å) after each atom.
Space group P-1 (No. 2)
Symmetry-distinct sites (fractional):
Rb1 0.0000 0.0000 0.0000 [1 per cell]  2 Hg 3.66, 4 Pb 3.69-3.80, 2 Rb 3.95
Rb2 0.3560 0.8708 0.3522 [2 per cell]  2 Hg 3.52-3.83, 1 Pb 3.87
Hg1 0.3595 0.7083 0.7243 [2 per cell]  4 Pb 3.02-3.31
Pb1 0.0322 0.4665 0.3240 [2 per cell]  2 Hg 3.02-3.15, 1 Pb 3.32
Pb2 0.3116 0.3663 0.0058 [2 per cell]  2 Hg 3.24-3.31, 3 Pb 3.31-3.32

---

# 2
Entry from the Alexandria database: a relaxed structure of Rb2HgPb (PBE).

Lattice parameters (Å, degrees): 10.2101 10.2101 6.8541 90.00 90.00 90.00
With the nearest neighbours (Å) after each atom.
Space group I-42d (No. 122)
Symmetry-distinct sites (fractional):
Rb1 0.2197 0.2500 0.1250 [8 per cell]  2 Rb 3.48, 2 Hg 3.50
Hg1 0.0000 0.0000 0.0000 [4 per cell]  2 Pb 3.43, 4 Rb 3.50
Pb1 0.0000 0.0000 0.5000 [4 per cell]  2 Hg 3.43

---

no.,calculated volume (Å³/atom),E_form (meV/atom)
1,39.406,-110
2,44.657,37